[1]
A plane-wave DFT calculation with GGA-PBE was carried out for a geometry-optimized Rb2AgF structure.

Cell lengths 3.699, 3.699, 8.374 Å; angles 90.00, 90.00, 90.00 degrees
Positions (direct):
Rb1 0.000 0.000 0.202
Rb2 0.000 0.000 0.798
Ag1 0.500 0.500 0.500
F1 0.500 0.500 0.000

Properties
The value obtained for the density of states at the Fermi level is 0.6 states/eV/cell. For the energy above the most stable polymorph in this dataset, the calculation gives 63 meV per atom.



[2]
A plane-wave DFT calculation with GGA-PBE was carried out for a geometry-optimized Rb2AgF structure.

Cell lengths 4.383, 4.383, 8.457 Å; angles 74.98, 74.98, 60.00 degrees
Positions (direct):
Ag1 0.500 0.500 0.500
Rb1 0.269 0.269 0.193
Rb2 0.731 0.731 0.807
F1 0.000 0.000 0.000

Properties
The value obtained for the density of states at the Fermi level is 0.2 states/eV/cell. For the energy above the most stable polymorph in this dataset, the calculation gives 20 meV per atom.



[3]
A plane-wave DFT calculation with GGA-PBE was carried out for a geometry-optimized Rb2AgF4 structure.

Cell lengths 3.693, 6.603, 6.603 Å; angles 90.00, 90.00, 90.00 degrees
Positions (direct):
F1 0.000 0.775 0.775
F2 0.000 0.775 0.225
F3 0.000 0.225 0.775
F4 0.000 0.225 0.225
Ag1 0.000 0.000 0.000
Rb1 0.500 0.000 0.500
Rb2 0.500 0.500 0.000

Properties
For the energy above the most stable polymorph in this dataset, the calculation gives 22 meV per atom.



[4]
A plane-wave DFT calculation with GGA-PBE was carried out for a geometry-optimized Rb2AgF structure.

Cell lengths 5.704, 5.704, 5.704 Å; angles 60.00, 60.00, 60.00 degrees
Positions (direct):
Ag1 0.500 0.500 0.500
F1 0.000 0.000 0.000
Rb1 0.750 0.750 0.750
Rb2 0.250 0.250 0.250

Properties
The value obtained for the density of states at the Fermi level is 0.0 states/eV/cell. For the energy above the most stable polymorph in this dataset, the calculation gives 209 meV per atom.



[5]
A plane-wave DFT calculation with GGA-PBE was carried out for a geometry-optimized RbAg3F6 structure.

Cell lengths 3.735, 7.179, 7.179 Å; angles 111.14, 90.00, 90.00 degrees
Positions (direct):
Ag1 0.500 0.500 0.000
Ag2 0.500 0.000 0.500
Ag3 0.000 0.000 0.000
F1 0.500 0.684 0.316
F2 0.000 0.938 0.688
F3 0.000 0.688 0.938
F4 0.000 0.312 0.062
F5 0.000 0.062 0.312
F6 0.500 0.316 0.684
Rb1 0.000 0.500 0.500

Properties
The value obtained for the density of states at the Fermi level is 3.3 states/eV/cell. For the energy above the most stable polymorph in this dataset, the calculation gives 0 meV per atom.



[6]
A plane-wave DFT calculation with GGA-PBE was carried out for a geometry-optimized RbAgF2 structure.

Cell lengths 7.491, 7.491, 7.491 Å; angles 31.87, 31.87, 31.87 degrees
Positions (direct):
F1 0.097 0.097 0.097
F2 0.903 0.903 0.903
Rb1 0.500 0.500 0.500
Ag1 0.000 0.000 0.000

Properties
The value obtained for the density of states at the Fermi level is 0.0 states/eV/cell. For the energy above the most stable polymorph in this dataset, the calculation gives 0 meV per atom.



The calculation returns the following E_form (uncorrected) values, one per record and in order: -111.40 -115.55 -199.90 -97.33 -142.42 -177.39 kJ per mole of atoms.